[1]
# Al4TcSe (PBE-GGA, relaxed)
data_Al4TcSe
_chemical_formula_sum 'Al4 Tc1 Se1'
_cell_length_a 5.163
_cell_length_b 5.163
_cell_length_c 5.163
_cell_angle_alpha 60.00
_cell_angle_beta 60.00
_cell_angle_gamma 60.00
_space_group_name_H-M_alt 'P 1'
_space_group_IT_number 1
loop_
_space_group_symop_operation_xyz
'x,y,z'
loop_
_atom_site_label
_atom_site_type_symbol
_atom_site_fract_x
_atom_site_fract_y
_atom_site_fract_z
Tc1 Tc 0.000 0.000 0.000
Al1 Al 0.374 0.878 0.374
Al2 Al 0.374 0.374 0.374
Se1 Se 0.750 0.750 0.750
Al3 Al 0.878 0.374 0.374
Al4 Al 0.374 0.374 0.878
# crystal system: cubic
# spin magnetization: 0.0 μB per formula unit
# uncorrected formation energy: 0.222 eV/atom
# mass density: 4.860 g/cm³


[2]
# KHgPtF6 (PBE-GGA, relaxed)
data_KHgPtF6
_chemical_formula_sum 'K2 Hg2 Pt2 F12'
_cell_length_a 7.224
_cell_length_b 8.185
_cell_length_c 7.580
_cell_angle_alpha 122.68
_cell_angle_beta 118.46
_cell_angle_gamma 90.00
_space_group_name_H-M_alt 'P 1'
_space_group_IT_number 1
loop_
_space_group_symop_operation_xyz
'x,y,z'
loop_
_atom_site_label
_atom_site_type_symbol
_atom_site_fract_x
_atom_site_fract_y
_atom_site_fract_z
F1 F 0.563 0.827 0.739
K1 K 0.842 0.592 0.684
F2 F 0.563 0.412 0.739
F3 F 0.824 0.588 0.261
F4 F 0.576 0.826 0.152
F5 F 0.437 0.588 0.261
Hg1 Hg 0.500 0.000 0.500
F6 F 0.437 0.173 0.261
K2 K 0.158 0.408 0.316
Pt1 Pt 0.500 0.000 0.000
Pt2 Pt 0.500 0.500 0.000
F7 F 0.128 0.878 0.256
F8 F 0.176 0.412 0.739
Hg2 Hg 0.000 0.000 0.500
F9 F 0.872 0.122 0.744
F10 F 0.824 0.173 0.261
F11 F 0.176 0.827 0.739
F12 F 0.424 0.174 0.848
# crystal system: orthorhombic
# spin magnetization: 0.0 μB per formula unit
# uncorrected formation energy: -1.679 eV/atom
# mass density: 5.860 g/cm³


[3]
# AcMgSn2Pd5 (PBE-GGA, relaxed)
data_AcMgSn2Pd5
_chemical_formula_sum 'Ac1 Mg1 Sn2 Pd5'
_cell_length_a 4.454
_cell_length_b 4.454
_cell_length_c 9.667
_cell_angle_alpha 90.00
_cell_angle_beta 90.00
_cell_angle_gamma 90.00
_space_group_name_H-M_alt 'P 1'
_space_group_IT_number 1
loop_
_space_group_symop_operation_xyz
'x,y,z'
loop_
_atom_site_label
_atom_site_type_symbol
_atom_site_fract_x
_atom_site_fract_y
_atom_site_fract_z
Sn1 Sn 0.500 0.500 0.141
Pd1 Pd 0.000 0.500 0.717
Pd2 Pd 0.000 0.500 0.283
Ac1 Ac 0.000 0.000 0.500
Pd3 Pd 0.500 0.000 0.717
Pd4 Pd 0.500 0.500 0.500
Sn2 Sn 0.500 0.500 0.859
Mg1 Mg 0.000 0.000 0.000
Pd5 Pd 0.500 0.000 0.283
# crystal system: tetragonal
# spin magnetization: 0.0 μB per formula unit
# mass density: 8.840 g/cm³
# calculated formation energy: -471 meV per atom